# Pa2MnRh

A relaxed Pa2MnRh crystal (GGA-PBE, Alexandria via LeMat-Bulk).

Properties
D(E_F), states/eV per atom: 1.461
Distance to the lowest polymorph of the same formula, meV per atom: 0
SG: P4/mmm

a b c (Å): 3.3092 4.8471 4.8471
angles (deg): 90.00 90.00 90.00
Atoms (fractional coordinates):
Pa (0.0000, 0.0000, 0.5000)
Pa (0.0000, 0.5000, 0.0000)
Rh (0.5000, 0.0000, 0.0000)
Mn (0.5000, 0.5000, 0.5000)

# CdInOs2

A relaxed CdInOs2 crystal (GGA-PBE, Alexandria via LeMat-Bulk).

Properties
D(E_F), states/eV per atom: 1.390
VASP energy, eV per atom: -5.69
SG: P4/mmm

a b c (Å): 3.2480 3.2480 6.4787
angles (deg): 90.00 90.00 90.00
Last column: magnetic moment on the atom in μB.
Atoms (fractional coordinates):
Cd (0.5000, 0.5000, 0.2500)  0.01
Os (0.0000, 0.0000, 0.9934)  0.54
Os (0.0000, 0.0000, 0.5066)  0.54
In (0.5000, 0.5000, 0.7500)  -0.01

# HfCrAgS4

A relaxed HfCrAgS4 crystal (GGA-PBE, Alexandria via LeMat-Bulk).

Properties
Distance to the lowest polymorph of the same formula, meV per atom: 12
SG: P2
Formation energy (no corrections), eV per atom: -0.93

a b c (Å): 7.1192 6.1471 6.6054
angles (deg): 84.77 90.00 90.00
Last column: magnetic moment on the atom in μB.
Atoms (fractional coordinates):
Hf (0.7712, 0.0000, 0.5000)  0.04
Hf (0.4937, 0.5000, 0.5000)  0.04
Cr (0.2625, 0.0000, 0.5000)  2.80
Cr (0.0041, 0.5000, 0.5000)  2.81
Ag (0.9828, 0.5000, 0.0000)  0.01
Ag (0.4262, 0.5000, 0.0000)  0.01
S (0.0231, 0.1947, 0.2928)  -0.04
S (0.5024, 0.1782, 0.2821)  -0.01
S (0.7621, 0.6805, 0.2804)  -0.01
S (0.2421, 0.6979, 0.2882)  -0.04
S (0.7621, 0.3195, 0.7196)  -0.01
S (0.2421, 0.3021, 0.7118)  -0.04
S (0.5024, 0.8218, 0.7179)  -0.01
S (0.0231, 0.8053, 0.7072)  -0.04

Question: Which formula does entry 3 have?
Answer: HfCrAgS4